A geometry-optimized ZnNiSbRh structure. Source: the Alexandria database, functional PBE.

Fermi-level density of states	2.3	states/eV/cell
V	15.1	Å³ per atom
formation energy without anion corrections	-0.217	eV per atom
crystal system	cubic

a = 4.403 Å, b = 4.403 Å, c = 4.403 Å
α = 60.00°, β = 60.00°, γ = 60.00°
Sites, in units of the cell vectors:
Sb  0.500  0.500  0.500
Ni  0.250  0.250  0.250
Rh  0.750  0.750  0.750
Zn  0.000  0.000  0.000